Entry 1:
# K2US2O2 (PBE-GGA, optimized geometry)
# SG	I4/mmm
# magnetization	0.000	μB per formula unit
# electronic total energy	-6.52	eV/atom
# crystal system	tetragonal
# uncorrected formation energy	-192.5	kJ/mol of atoms
data_K2US2O2
_chemical_formula_sum 'K2 U1 S2 O2'
_symmetry_space_group_name_H-M 'P 1'
_symmetry_Int_Tables_number 1
_cell_length_a 9.109
_cell_length_b 9.109
_cell_length_c 9.109
_cell_angle_alpha 152.60
_cell_angle_beta 152.60
_cell_angle_gamma 39.14
loop_
_symmetry_equiv_pos_as_xyz
'x,y,z'
loop_
_atom_site_label
_atom_site_type_symbol
_atom_site_fract_x
_atom_site_fract_y
_atom_site_fract_z
K1 K 0.156 0.156 0.000
K2 K 0.844 0.844 0.000
U1 U 0.500 0.500 0.000
S1 S 0.353 0.353 0.000
S2 S 0.647 0.647 0.000
O1 O 0.000 0.500 0.500
O2 O 0.500 0.000 0.500



Entry 2:
# PuIF (PBE-GGA, optimized geometry)
# SG	Cmcm
# magnetization	6.000	μB per formula unit
# electronic total energy	-8.02	eV/atom
# crystal system	orthorhombic
# uncorrected formation energy	-202.8	kJ/mol of atoms
data_PuIF
_chemical_formula_sum 'Pu2 I2 F2'
_symmetry_space_group_name_H-M 'P 1'
_symmetry_Int_Tables_number 1
_cell_length_a 10.617
_cell_length_b 10.617
_cell_length_c 4.064
_cell_angle_alpha 90.00
_cell_angle_beta 90.00
_cell_angle_gamma 157.95
loop_
_symmetry_equiv_pos_as_xyz
'x,y,z'
loop_
_atom_site_label
_atom_site_type_symbol
_atom_site_fract_x
_atom_site_fract_y
_atom_site_fract_z
Pu1 Pu 0.176 0.824 0.750
Pu2 Pu 0.824 0.176 0.250
I1 I 0.401 0.599 0.750
I2 I 0.599 0.401 0.250
F1 F 0.250 0.750 0.250
F2 F 0.750 0.250 0.750



Entry 3:
# Cr2OsS (PBE-GGA, optimized geometry)
# SG	I-42d
# magnetization	1.740	μB per formula unit
# electronic total energy	-8.08	eV/atom
# crystal system	tetragonal
# uncorrected formation energy	54.8	kJ/mol of atoms
data_Cr2OsS
_chemical_formula_sum 'Cr4 Os2 S2'
_symmetry_space_group_name_H-M 'P 1'
_symmetry_Int_Tables_number 1
_cell_length_a 6.252
_cell_length_b 6.252
_cell_length_c 6.252
_cell_angle_alpha 129.06
_cell_angle_beta 129.06
_cell_angle_gamma 74.92
loop_
_symmetry_equiv_pos_as_xyz
'x,y,z'
loop_
_atom_site_label
_atom_site_type_symbol
_atom_site_fract_x
_atom_site_fract_y
_atom_site_fract_z
Cr1 Cr 0.109 0.625 0.984
Cr2 Cr 0.375 0.359 0.484
Cr3 Cr 0.641 0.125 0.016
Cr4 Cr 0.875 0.891 0.516
Os1 Os 0.250 0.750 0.500
Os2 Os 0.500 0.500 0.000
S1 S 0.000 0.000 0.000
S2 S 0.750 0.250 0.500



Entry 4:
# BaSr2Y (PBE-GGA, optimized geometry)
# SG	Pm
# relative energy among the computed polymorphs	0.13	eV/f.u.
# magnetization	0.000	μB per formula unit
# electronic total energy	-2.76	eV/atom
# crystal system	monoclinic
# energy relative to the elements	181	meV per atom
data_BaSr2Y
_chemical_formula_sum 'Ba1 Sr2 Y1'
_symmetry_space_group_name_H-M 'P 1'
_symmetry_Int_Tables_number 1
_cell_length_a 3.925
_cell_length_b 6.418
_cell_length_c 7.672
_cell_angle_alpha 90.00
_cell_angle_beta 101.00
_cell_angle_gamma 90.00
loop_
_symmetry_equiv_pos_as_xyz
'x,y,z'
loop_
_atom_site_label
_atom_site_type_symbol
_atom_site_fract_x
_atom_site_fract_y
_atom_site_fract_z
Ba1 Ba 0.000 0.000 0.000
Sr1 Sr 0.482 0.000 0.524
Sr2 Sr 0.745 0.500 0.266
Y1 Y 0.237 0.500 0.762



Entry 5:
# TmPuFeIr (PBE-GGA, optimized geometry)
# SG	F-43m
# magnetization	3.363	μB per formula unit
# electronic total energy	-9.37	eV/atom
# crystal system	cubic
# energy relative to the elements	-338	meV per atom
data_TmPuFeIr
_chemical_formula_sum 'Tm1 Pu1 Fe1 Ir1'
_symmetry_space_group_name_H-M 'P 1'
_symmetry_Int_Tables_number 1
_cell_length_a 4.768
_cell_length_b 4.768
_cell_length_c 4.768
_cell_angle_alpha 60.00
_cell_angle_beta 60.00
_cell_angle_gamma 60.00
loop_
_symmetry_equiv_pos_as_xyz
'x,y,z'
loop_
_atom_site_label
_atom_site_type_symbol
_atom_site_fract_x
_atom_site_fract_y
_atom_site_fract_z
Tm1 Tm 0.000 0.000 0.000
Pu1 Pu 0.500 0.500 0.500
Fe1 Fe 0.750 0.750 0.750
Ir1 Ir 0.250 0.250 0.250



Entry 6:
# NpGaCu (PBE-GGA, optimized geometry)
# SG	I4mm
# magnetization	3.666	μB per formula unit
# electronic total energy	-6.65	eV/atom
# crystal system	tetragonal
# energy relative to the elements	34	meV per atom
data_NpGaCu
_chemical_formula_sum 'Np1 Ga1 Cu1'
_symmetry_space_group_name_H-M 'P 1'
_symmetry_Int_Tables_number 1
_cell_length_a 6.385
_cell_length_b 6.385
_cell_length_c 6.385
_cell_angle_alpha 153.64
_cell_angle_beta 153.64
_cell_angle_gamma 37.62
loop_
_symmetry_equiv_pos_as_xyz
'x,y,z'
loop_
_atom_site_label
_atom_site_type_symbol
_atom_site_fract_x
_atom_site_fract_y
_atom_site_fract_z
Np1 Np 0.000 0.000 0.000
Ga1 Ga 0.307 0.307 0.000
Cu1 Cu 0.682 0.682 0.000



Entry 7:
# Ti2MnAu (PBE-GGA, optimized geometry)
# SG	I-42d
# magnetization	2.040	μB per formula unit
# electronic total energy	-6.78	eV/atom
# crystal system	tetragonal
# energy relative to the elements	277	meV per atom
data_Ti2MnAu
_chemical_formula_sum 'Ti4 Mn2 Au2'
_symmetry_space_group_name_H-M 'P 1'
_symmetry_Int_Tables_number 1
_cell_length_a 9.871
_cell_length_b 9.871
_cell_length_c 9.871
_cell_angle_alpha 157.66
_cell_angle_beta 157.66
_cell_angle_gamma 31.80
loop_
_symmetry_equiv_pos_as_xyz
'x,y,z'
loop_
_atom_site_label
_atom_site_type_symbol
_atom_site_fract_x
_atom_site_fract_y
_atom_site_fract_z
Ti1 Ti 0.118 0.625 0.993
Ti2 Ti 0.375 0.368 0.493
Ti3 Ti 0.632 0.125 0.007
Ti4 Ti 0.875 0.882 0.507
Mn1 Mn 0.000 0.000 0.000
Mn2 Mn 0.750 0.250 0.500
Au1 Au 0.250 0.750 0.500
Au2 Au 0.500 0.500 0.000



Entry 8:
# YRe3 (PBE-GGA, optimized geometry)
# SG	Pm-3m
# relative energy among the computed polymorphs	16.44	eV/f.u.
# magnetization	0.534	μB per formula unit
# electronic total energy	-6.58	eV/atom
# crystal system	cubic
# energy relative to the elements	4375	meV per atom
data_YRe3
_chemical_formula_sum 'Y1 Re3'
_symmetry_space_group_name_H-M 'P 1'
_symmetry_Int_Tables_number 1
_cell_length_a 4.897
_cell_length_b 4.897
_cell_length_c 4.897
_cell_angle_alpha 90.00
_cell_angle_beta 90.00
_cell_angle_gamma 90.00
loop_
_symmetry_equiv_pos_as_xyz
'x,y,z'
loop_
_atom_site_label
_atom_site_type_symbol
_atom_site_fract_x
_atom_site_fract_y
_atom_site_fract_z
Y1 Y 0.000 0.000 0.000
Re1 Re 0.000 0.000 0.500
Re2 Re 0.000 0.500 0.000
Re3 Re 0.500 0.000 0.000